Density functional theory data (PBE) for Dy12Y6Tl after structural relaxation.

Properties
Formation energy from the elements in meV per atom: 95
Spin magnetization in μB/cell: 0.00
DFT total energy in eV for the cell shown: -94.578

Cell: 8.4650 8.4650 8.4650 Å, 88.93 88.93 88.93°
Atoms (fractional coordinates):
Dy 0.0132 0.1880 0.3608
Dy 0.1880 0.3608 0.0132
Dy 0.2212 0.4605 0.5668
Dy 0.3608 0.0132 0.1880
Dy 0.4332 0.7788 0.5395
Dy 0.4605 0.5668 0.2212
Dy 0.5395 0.4332 0.7788
Dy 0.5668 0.2212 0.4605
Dy 0.6392 0.9868 0.8120
Dy 0.7788 0.5395 0.4332
Dy 0.8120 0.6392 0.9868
Dy 0.9868 0.8120 0.6392
Y 0.0952 0.7022 0.2585
Y 0.2585 0.0952 0.7022
Y 0.2978 0.7415 0.9048
Y 0.7022 0.2585 0.0952
Y 0.7415 0.9048 0.2978
Y 0.9048 0.2978 0.7415
Tl 0.0000 0.0000 0.0000

***

Density functional theory data (PBE) for BRh2F after structural relaxation.

Properties
Energy relative to the lowest polymorph listed for this composition in meV per atom: 171
Spin magnetization in μB/cell: 0.01
Energy relative to the elements, uncorrected in eV per formula unit: 0.23
DFT total energy in eV for the cell shown: -23.017

Cell: 3.9383 3.9383 3.9383 Å, 60.00 60.00 60.00°
Atoms (fractional coordinates):
B 0.0000 0.0000 0.0000
Rh 0.2500 0.2500 0.2500
Rh 0.7500 0.7500 0.7500
F 0.5000 0.5000 0.5000

***

Density functional theory data (PBE) for PaBiPb after structural relaxation.

Properties
Energy relative to the lowest polymorph listed for this composition in meV per atom: 157
Formation energy from the elements in meV per atom: 94
Spin magnetization in μB/cell: 1.20
DFT total energy in eV for the cell shown: -16.802

Cell: 5.9962 5.9962 5.9962 Å, 140.47 140.47 57.14°
Atoms (fractional coordinates):
Pa 0.0000 0.0000 0.0000
Bi 0.6557 0.6557 0.0000
Pb 0.3328 0.3328 0.0000

***

Density functional theory data (PBE) for TcAgHF2 after structural relaxation.

Properties
Spin magnetization in μB/cell: 2.43
DFT total energy in eV for the cell shown: -22.323

Cell: 4.3219 4.3219 3.5466 Å, 90.00 90.00 90.00°
Atoms (fractional coordinates):
Tc 0.0000 0.0000 0.0000
Ag 0.5000 0.5000 0.5000
H 0.0000 0.0000 0.5000
F 0.0000 0.5000 0.0000
F 0.5000 0.0000 0.0000